(1)
A relaxed Pr4Er7Th crystal, computed with PBE-GGA.

Output
Energy relative to the elements   25 meV/atom
Energy above the lowest structure with this stoichiometry   0.000 eV/atom
Final energy   -4.85 eV per atom
V   32.46 Å³/atom

Unit cell a=7.138 b=7.998 c=8.009 alpha=73.02 beta=77.74 gamma=63.50
Space group P-1 (No. 2)
Inequivalent atoms, fractional coordinates:
Pr 0.088 0.168 0.329 (multiplicity 2)
Pr 0.337 0.668 0.330 (multiplicity 2)
Er 0.000 0.000 0.000 (multiplicity 1)
Er 0.170 0.327 0.672 (multiplicity 2)
Er 0.252 0.496 0.999 (multiplicity 2)
Er 0.418 0.837 0.672 (multiplicity 2)
Th 0.500 0.000 0.000 (multiplicity 1)

(2)
A relaxed Pr3ErTh2 crystal, computed with PBE-GGA.

Output
Energy relative to the elements   74 meV/atom
Final energy   -5.55 eV per atom
V   33.87 Å³/atom

Unit cell a=5.126 b=15.329 c=5.173 alpha=90.00 beta=90.00 gamma=90.00
Space group Cmmm (No. 65)
Inequivalent atoms, fractional coordinates:
Pr 0.000 0.000 0.000 (multiplicity 2)
Pr 0.000 0.169 0.500 (multiplicity 4)
Er 0.000 0.500 0.500 (multiplicity 2)
Th 0.000 0.333 0.000 (multiplicity 4)

(3)
A relaxed PrEr2Th crystal, computed with PBE-GGA.

Output
Energy relative to the elements   12 meV/atom
Energy above the lowest structure with this stoichiometry   0.012 eV/atom
Final energy   -5.32 eV per atom
V   32.33 Å³/atom

Unit cell a=3.595 b=3.595 c=10.003 alpha=90.00 beta=90.00 gamma=90.00
Space group P4/mmm (No. 123)
Inequivalent atoms, fractional coordinates:
Pr 0.000 0.000 0.000 (multiplicity 1)
Er 0.500 0.500 0.260 (multiplicity 2)
Th 0.000 0.000 0.500 (multiplicity 1)